# 1
This record from Alexandria via LeMat-Bulk describes a PBEsol-optimized structure of Si4RhAu. The functional is SCAN.

Computed properties:
calculated volume	88	Å³ per cell
theoretical density	7.82	Mg/m³
raw formation energy	0.529	eV/atom
DOS(E_F)	2.50	states/eV/f.u.
magnetization	0.0	μB/f.u.
space-group type	F-43m

a b c (Å): 4.984 4.984 4.984
angles (deg): 60.00 60.00 60.00
Atoms (fractional coordinates):
Si: 0.625 0.625 0.625
Si: 0.625 0.625 0.124
Si: 0.124 0.625 0.625
Si: 0.625 0.124 0.625
Au: 0.250 0.250 0.250
Rh: 0.000 0.000 0.000

# 2
This record from Alexandria via LeMat-Bulk describes a PBEsol-optimized structure of Sn3RhAu. The functional is SCAN.

Computed properties:
calculated volume	136	Å³ per cell
energy relative to the elements	4.659	eV/f.u.
theoretical density	7.99	Mg/m³
DOS(E_F)	3.37	states/eV/f.u.
magnetization	0.0	μB/f.u.
space-group type	Pm-3m

a b c (Å): 5.147 5.147 5.147
angles (deg): 90.00 90.00 90.00
Atoms (fractional coordinates):
Sn: 0.000 0.500 0.000
Sn: 0.000 0.000 0.500
Sn: 0.500 0.000 0.000
Au: 0.000 0.000 0.000
Rh: 0.500 0.500 0.500

# 3
This record from Alexandria via LeMat-Bulk describes a PBEsol-optimized structure of SrRhAu2. The functional is SCAN.

Computed properties:
calculated volume	77	Å³ per cell
energy relative to the elements	-0.884	eV/f.u.
theoretical density	12.67	Mg/m³
DOS(E_F)	2.83	states/eV/f.u.
magnetization	0.0	μB/f.u.
space-group type	I-4m2

a b c (Å): 4.223 4.229 5.227
angles (deg): 113.86 113.83 90.00
Atoms (fractional coordinates):
Au: 0.750 0.250 0.500
Au: 0.000 0.000 0.000
Rh: 0.500 0.500 0.000
Sr: 0.250 0.750 0.500

# 4
This record from Alexandria via LeMat-Bulk describes a PBEsol-optimized structure of TaRhAu. The functional is SCAN.

Computed properties:
calculated volume	48	Å³ per cell
energy relative to the elements	-0.937	eV/f.u.
theoretical density	16.75	Mg/m³
relative energy among the computed polymorphs	0.48	eV per formula unit
DOS(E_F)	2.22	states/eV/f.u.
magnetization	0.0	μB/f.u.
space-group type	I4mm

a b c (Å): 2.894 2.894 6.047
angles (deg): 103.84 103.84 90.00
Atoms (fractional coordinates):
Ta: 0.325 0.325 0.650
Au: 0.001 0.001 0.001
Rh: 0.674 0.674 0.349

# 5
This record from Alexandria via LeMat-Bulk describes a PBEsol-optimized structure of Ta2Rh2Au. The functional is SCAN.

Computed properties:
calculated volume	161	Å³ per cell
energy relative to the elements	-2.108	eV/f.u.
theoretical density	15.73	Mg/m³
DOS(E_F)	3.32	states/eV/f.u.
magnetization	0.0	μB/f.u.
space-group type	P4/mbm

a b c (Å): 2.927 7.428 7.428
angles (deg): 90.00 90.00 90.00
Atoms (fractional coordinates):
Rh: 0.000 0.870 0.630
Rh: 0.000 0.370 0.870
Rh: 0.000 0.630 0.130
Rh: 0.000 0.130 0.370
Ta: 0.500 0.168 0.668
Ta: 0.500 0.332 0.168
Ta: 0.500 0.832 0.332
Ta: 0.500 0.668 0.832
Au: 0.000 0.500 0.500
Au: 0.000 0.000 0.000

# 6
This record from Alexandria via LeMat-Bulk describes a PBEsol-optimized structure of TaRhAu. The functional is SCAN.

Computed properties:
calculated volume	55	Å³ per cell
energy relative to the elements	0.153	eV/f.u.
theoretical density	14.39	Mg/m³
relative energy among the computed polymorphs	1.57	eV per formula unit
DOS(E_F)	2.90	states/eV/f.u.
magnetization	0.0	μB/f.u.
space-group type	F-43m

a b c (Å): 4.281 4.281 4.281
angles (deg): 60.00 60.00 60.00
Atoms (fractional coordinates):
Ta: 0.000 0.000 0.000
Au: 0.500 0.500 0.500
Rh: 0.750 0.750 0.750

# 7
This record from Alexandria via LeMat-Bulk describes a PBEsol-optimized structure of TaRhAu. The functional is SCAN.

Computed properties:
calculated volume	47	Å³ per cell
energy relative to the elements	-1.418	eV/f.u.
theoretical density	16.94	Mg/m³
relative energy among the computed polymorphs	0.00	eV per formula unit
DOS(E_F)	1.68	states/eV/f.u.
magnetization	0.0	μB/f.u.
space-group type	Imm2

a b c (Å): 4.881 4.881 4.881
angles (deg): 144.97 134.59 58.61
Atoms (fractional coordinates):
Ta: 0.673 0.673 0.000
Au: 0.000 0.000 0.000
Rh: 0.327 0.327 0.000

# 8
This record from Alexandria via LeMat-Bulk describes a PBEsol-optimized structure of TcRh2Au. The functional is SCAN.

Computed properties:
calculated volume	58	Å³ per cell
energy relative to the elements	-0.241	eV/f.u.
theoretical density	14.43	Mg/m³
relative energy among the computed polymorphs	0.00	eV per formula unit
DOS(E_F)	3.86	states/eV/f.u.
magnetization	0.0	μB/f.u.
space-group type	P4/mmm

a b c (Å): 2.730 2.730 7.728
angles (deg): 90.00 90.00 90.00
Atoms (fractional coordinates):
Rh: 0.000 0.000 0.230
Rh: 0.000 0.000 0.770
Tc: 0.500 0.500 0.000
Au: 0.500 0.500 0.500

# 9
This record from Alexandria via LeMat-Bulk describes a PBEsol-optimized structure of TcRh2Au. The functional is SCAN.

Computed properties:
calculated volume	57	Å³ per cell
energy relative to the elements	0.697	eV/f.u.
theoretical density	14.52	Mg/m³
relative energy among the computed polymorphs	0.94	eV per formula unit
DOS(E_F)	5.40	states/eV/f.u.
magnetization	0.0	μB/f.u.
space-group type	Cmmm

a b c (Å): 2.738 4.695 4.695
angles (deg): 108.40 90.00 90.00
Atoms (fractional coordinates):
Au: 0.500 0.500 0.500
Rh: 0.000 0.000 0.500
Rh: 0.000 0.500 0.000
Tc: 0.500 0.000 0.000

# 10
This record from Alexandria via LeMat-Bulk describes a PBEsol-optimized structure of Tc2RhAu. The functional is SCAN.

Computed properties:
calculated volume	59	Å³ per cell
energy relative to the elements	2.314	eV/f.u.
theoretical density	13.94	Mg/m³
relative energy among the computed polymorphs	1.79	eV per formula unit
DOS(E_F)	4.79	states/eV/f.u.
magnetization	2.3	μB/f.u.
space-group type	Fm-3m

a b c (Å): 4.372 4.372 4.372
angles (deg): 60.00 60.00 60.00
Site moments in Bohr magnetons follow the coordinates.
Atoms (fractional coordinates):
Tc: 0.750 0.750 0.750  0.63
Tc: 0.250 0.250 0.250  0.63
Au: 0.000 0.000 0.000  0.09
Rh: 0.500 0.500 0.500  0.91

# 11
This record from Alexandria via LeMat-Bulk describes a PBEsol-optimized structure of TcRhAu2. The functional is SCAN.

Computed properties:
calculated volume	60	Å³ per cell
energy relative to the elements	1.322	eV/f.u.
theoretical density	16.33	Mg/m³
relative energy among the computed polymorphs	0.34	eV per formula unit
DOS(E_F)	4.03	states/eV/f.u.
magnetization	0.0	μB/f.u.
space-group type	I4/mmm

a b c (Å): 3.935 3.935 4.796
angles (deg): 114.22 114.22 90.00
Atoms (fractional coordinates):
Au: 0.750 0.250 0.500
Au: 0.250 0.750 0.500
Rh: 0.500 0.500 0.000
Tc: 0.000 0.000 0.000

# 12
This record from Alexandria via LeMat-Bulk describes a PBEsol-optimized structure of TcRh2Au. The functional is SCAN.

Computed properties:
calculated volume	58	Å³ per cell
energy relative to the elements	0.349	eV/f.u.
theoretical density	14.44	Mg/m³
relative energy among the computed polymorphs	0.59	eV per formula unit
DOS(E_F)	3.81	states/eV/f.u.
magnetization	0.0	μB/f.u.
space-group type	R3m

a b c (Å): 2.719 2.719 9.130
angles (deg): 81.44 81.44 60.00
Atoms (fractional coordinates):
Rh: 0.752 0.752 0.745
Rh: 0.003 0.003 0.990
Tc: 0.495 0.495 0.515
Au: 0.250 0.250 0.251